## K2ScMn (PBE)

Data for a relaxed structure of K2ScMn.

Computed properties:
Crystal system ... orthorhombic
Relative energy among the computed polymorphs ... 234 meV per atom
Energy of formation ... 0.736 eV/atom
Magnetic moment ... 2.9 μB per formula unit

Unit cell a=3.426 b=6.610 c=13.231 alpha=90.00 beta=90.00 gamma=90.00
Positions (direct):
K (0.000, 0.000, 0.000)
K (0.000, 0.500, 0.203)
K (0.500, 0.000, 0.703)
K (0.500, 0.500, 0.500)
Sc (0.000, 0.000, 0.399)
Sc (0.500, 0.500, 0.899)
Mn (0.000, 0.500, 0.743)
Mn (0.500, 0.000, 0.243)